Entry from Alexandria via LeMat-Bulk: a relaxed TbCePt crystal (PBE-GGA).

Results
Its energy is -18.31 eV for the cell shown. The formation energy is -0.5688 eV per atom.

abc: 3.9714 4.6859 4.6859
angles: 120.00 90.00 90.00
Closest atoms and distances in Å follow each position.
Fractional positions:
Tb  0.7268  0.6667  0.3333  3 Pt 2.89, 3 Ce 3.21
Ce  0.2920  0.3333  0.6667  3 Pt 2.97, 3 Tb 3.21
Pt  0.9813  0.0000  0.0000  3 Tb 2.89, 3 Ce 2.97

Entry from Alexandria via LeMat-Bulk: a relaxed TbCePt6 crystal (PBE-GGA).

Results
Its energy is -54.99 eV for the cell shown. The formation energy is -1.0224 eV per atom.

abc: 4.1507 4.1507 8.2902
angles: 90.00 90.00 90.00
Closest atoms and distances in Å follow each position.
Fractional positions:
Tb  0.0000  0.0000  0.5000  12 Pt 2.93-2.94
Ce  0.0000  0.0000  0.0000  12 Pt 2.92-2.93
Pt  0.5000  0.5000  0.0000  8 Pt 2.92, 4 Ce 2.93
Pt  0.5000  0.5000  0.5000  4 Tb 2.93, 8 Pt 2.94
Pt  0.5000  0.0000  0.2483  2 Ce 2.92, 8 Pt 2.92-2.94, 2 Tb 2.94
Pt  0.5000  0.0000  0.7517  2 Ce 2.92, 8 Pt 2.92-2.94, 2 Tb 2.94
Pt  0.0000  0.5000  0.2483  8 Pt 2.92-2.94, 2 Ce 2.92, 2 Tb 2.94
Pt  0.0000  0.5000  0.7517  8 Pt 2.92-2.94, 2 Ce 2.92, 2 Tb 2.94

Entry from Alexandria via LeMat-Bulk: a relaxed Tb2Ce3Pt2 crystal (PBE-GGA).

Results
Its energy is -43.60 eV for the cell shown. The formation energy is -0.6371 eV per atom.

abc: 4.1837 6.0679 8.3753
angles: 71.72 75.54 69.83
Closest atoms and distances in Å follow each position.
Fractional positions:
Tb  0.1448  0.5093  0.2010  3 Pt 2.91-3.14
Tb  0.8552  0.4907  0.7990  3 Pt 2.91-3.14
Ce  0.5000  0.0000  0.0000  4 Pt 2.82
Ce  0.3407  0.8590  0.4596  2 Ce 2.81, 1 Pt 2.93
Ce  0.6593  0.1410  0.5404  2 Ce 2.81, 1 Pt 2.93
Pt  0.1706  0.8334  0.8255  3 Ce 2.82-2.93, 3 Tb 2.91-3.14
Pt  0.8294  0.1666  0.1745  3 Ce 2.82-2.93, 3 Tb 2.91-3.14

Entry from Alexandria via LeMat-Bulk: a relaxed TbCePt3 crystal (PBE-GGA).

Results
Its energy is -136.82 eV for the cell shown. The formation energy is -1.1038 eV per atom.

abc: 7.1032 7.8531 7.6613
angles: 90.00 90.00 90.00
Closest atoms and distances in Å follow each position.
Fractional positions:
Tb  0.2075  0.6368  0.5000  8 Pt 2.85-3.02
Tb  0.2925  0.1368  0.0000  8 Pt 2.85-3.02
Tb  0.7925  0.3632  0.5000  8 Pt 2.85-3.02
Tb  0.7075  0.8632  0.0000  8 Pt 2.85-3.02
Ce  0.2855  0.1386  0.5000  8 Pt 2.83-3.04
Ce  0.7145  0.8614  0.5000  8 Pt 2.83-3.04
Ce  0.7855  0.3614  0.0000  8 Pt 2.83-3.04
Ce  0.2145  0.6386  0.0000  8 Pt 2.83-3.04
Pt  0.6182  0.1447  0.2505  3 Pt 2.83-2.94, 3 Ce 2.83-3.04, 3 Tb 2.85-3.01
Pt  0.1182  0.3553  0.7505  3 Pt 2.83-2.94, 3 Ce 2.83-3.04, 3 Tb 2.85-3.01
Pt  0.5000  0.5000  0.2515  4 Pt 2.91-2.94, 2 Ce 3.00, 2 Tb 3.02
Pt  0.0000  0.0000  0.2485  4 Pt 2.91-2.94, 2 Ce 3.00, 2 Tb 3.02
Pt  0.5000  0.5000  0.7485  4 Pt 2.91-2.94, 2 Ce 3.00, 2 Tb 3.02
Pt  0.3818  0.8553  0.7495  3 Pt 2.83-2.94, 3 Ce 2.83-3.04, 3 Tb 2.85-3.01
Pt  0.3818  0.8553  0.2505  3 Pt 2.83-2.94, 3 Ce 2.83-3.04, 3 Tb 2.85-3.01
Pt  0.6182  0.1447  0.7495  3 Pt 2.83-2.94, 3 Ce 2.83-3.04, 3 Tb 2.85-3.01
Pt  0.8818  0.6447  0.2495  3 Pt 2.83-2.94, 3 Ce 2.83-3.04, 3 Tb 2.85-3.01
Pt  0.0000  0.0000  0.7515  4 Pt 2.91-2.94, 2 Ce 3.00, 2 Tb 3.02
Pt  0.8818  0.6447  0.7505  3 Pt 2.83-2.94, 3 Ce 2.83-3.04, 3 Tb 2.85-3.01
Pt  0.1182  0.3553  0.2495  3 Pt 2.83-2.94, 3 Ce 2.83-3.04, 3 Tb 2.85-3.01

Entry from Alexandria via LeMat-Bulk: a relaxed TbCe2Pt3 crystal (PBE-GGA).

Results
Its energy is -82.28 eV for the cell shown. The formation energy is -1.0866 eV per atom.

abc: 5.8197 8.2365 7.1319
angles: 106.76 114.08 90.00
Closest atoms and distances in Å follow each position.
Fractional positions:
Tb  0.9997  0.7500  0.0000  6 Pt 2.91-2.92
Tb  0.0003  0.2500  0.0000  6 Pt 2.91-2.92
Ce  0.6665  0.5833  0.3330  6 Pt 2.90-2.91
Ce  0.6665  0.0833  0.3330  6 Pt 2.90-2.91
Ce  0.3335  0.9167  0.6670  6 Pt 2.90-2.91
Ce  0.3335  0.4167  0.6670  6 Pt 2.90-2.91
Pt  0.5003  0.2500  0.0000  2 Tb 2.91, 4 Ce 2.91
Pt  0.4997  0.7500  0.0000  2 Tb 2.91, 4 Ce 2.91
Pt  0.1679  0.0839  0.3357  4 Ce 2.90-2.91, 2 Tb 2.92
Pt  0.8321  0.4161  0.6643  4 Ce 2.90-2.91, 2 Tb 2.92
Pt  0.1679  0.5839  0.3357  4 Ce 2.90-2.91, 2 Tb 2.92
Pt  0.8321  0.9161  0.6643  4 Ce 2.90-2.91, 2 Tb 2.92

Entry from Alexandria via LeMat-Bulk: a relaxed TbCePt crystal (PBE-GGA).

Results
Its energy is -37.78 eV for the cell shown. The formation energy is -0.7615 eV per atom.

abc: 5.6515 4.5907 6.3049
angles: 90.00 106.03 90.00
Closest atoms and distances in Å follow each position.
Fractional positions:
Ce  0.4787  0.2500  0.8527  3 Pt 2.90-3.02, 2 Ce 2.92
Ce  0.5213  0.7500  0.1473  3 Pt 2.90-3.02, 2 Ce 2.92
Tb  0.0812  0.2500  0.2918  4 Pt 2.85-3.08
Tb  0.9188  0.7500  0.7082  4 Pt 2.85-3.08
Pt  0.6480  0.2500  0.4386  4 Tb 2.85-3.08, 3 Ce 2.90-3.02, 2 Pt 3.06
Pt  0.3520  0.7500  0.5614  4 Tb 2.85-3.08, 3 Ce 2.90-3.02, 2 Pt 3.06